# GGA-PBE Cd2Ir, relaxed
data_Cd2Ir
_cell_length_a 3.211
_cell_length_b 3.211
_cell_length_c 10.812
_cell_angle_alpha 90.00
_cell_angle_beta 90.00
_cell_angle_gamma 90.00
_symmetry_space_group_name_H-M 'I 4/m m m'
_symmetry_Int_Tables_number 139
_symmetry_space_group_name_Hall '-I 4 2'
loop_
_atom_site_label
_atom_site_fract_x
_atom_site_fract_y
_atom_site_fract_z
Cd1 0.000 0.000 0.153
Ir1 0.000 0.000 0.500
# DFT formation energy in kJ per mole of atoms: 16.6
# DOS at the Fermi energy in states/eV per cell: 2.47